(1)
First-principles (PBE) data for a relaxed Cs2PuH2O4 crystal, as listed in the Alexandria database.

energy: -59.095 eV/cell
DOS at the Fermi energy: 0.406 states/eV/atom
total magnetic moment: 4.00 μB/cell

abc: 3.5091 6.5228 8.0598
angles: 113.73 101.45 90.45
Last column: nearest neighbours and their distance in Å.
Space group P-1 (No. 2)
Unique sites:
Cs (0.0276, 0.1438, 0.2870) (multiplicity 2)  1 H 2.95, 3 O 3.09-3.14
Pu (0.0000, 0.5000, 0.0000) (multiplicity 1)  6 O 2.21-2.38
H (0.4718, 0.6700, 0.3353) (multiplicity 2)  1 O 0.98
O (0.1911, 0.6664, 0.3300) (multiplicity 2)  1 H 0.98
O (0.4982, 0.2927, 0.0009) (multiplicity 2)  2 Pu 2.21-2.22

(2)
First-principles (PBE) data for a relaxed CsPuH2O4 crystal, as listed in the Alexandria database.

energy: -109.746 eV/cell
DOS at the Fermi energy: 0.814 states/eV/atom
total magnetic moment: 6.00 μB/cell

abc: 5.2807 7.1900 8.1459
angles: 90.00 90.00 90.00
Last column: nearest neighbours and their distance in Å.
Space group I222 (No. 23)
Unique sites:
Cs (0.0000, 0.0000, 0.0000) (multiplicity 2)  4 O 3.01
Pu (0.0000, 0.0000, 0.5000) (multiplicity 2)  4 O 2.01
H (0.0000, 0.5000, 0.1647) (multiplicity 4)  2 O 1.22
O (0.2302, 0.4987, 0.8260) (multiplicity 8)  1 H 1.22

(3)
First-principles (PBE) data for a relaxed CsRbHO2 crystal, as listed in the Alexandria database.

energy: -13.278 eV/cell
DOS at the Fermi energy: 0.707 states/eV/atom
total magnetic moment: 0.31 μB/cell

abc: 4.4194 4.4194 8.3924
angles: 90.00 90.00 90.00
Last column: nearest neighbours and their distance in Å.
Space group P4/mmm (No. 123)
Unique sites:
Cs (0.0000, 0.0000, 0.0000) (multiplicity 1)  4 O 2.21
Rb (0.0000, 0.0000, 0.5000) (multiplicity 1)  4 H 3.12
H (0.5000, 0.5000, 0.5000) (multiplicity 1)  4 Rb 3.12
O (0.0000, 0.5000, 0.0000) (multiplicity 2)  2 Cs 2.21

(4)
First-principles (PBE) data for a relaxed CsReHO2 crystal, as listed in the Alexandria database.

energy: -15.919 eV/cell
DOS at the Fermi energy: 0.767 states/eV/atom
total magnetic moment: 5.15 μB/cell

abc: 4.3040 4.3040 7.3449
angles: 90.00 90.00 90.00
Last column: nearest neighbours and their distance in Å.
Space group P4/mmm (No. 123)
Unique sites:
Cs (0.0000, 0.0000, 0.0000) (multiplicity 1)  4 O 2.15
Re (0.0000, 0.0000, 0.5000) (multiplicity 1)  4 H 3.04
H (0.5000, 0.5000, 0.5000) (multiplicity 1)  4 Re 3.04
O (0.0000, 0.5000, 0.0000) (multiplicity 2)  2 Cs 2.15

> Look up the energy of the first one.

-59.095 eV/cell

> Which value of energy does entry 2 give?

-109.746 eV/cell